Density functional theory data (GGA-PBE) for a relaxed RuPt2Rh crystal.

a = 4.7870 Å, b = 4.7870 Å, c = 4.7870 Å
α = 132.12°, β = 132.10°, γ = 70.06°
Atoms (fractional coordinates):
Ru: 0.7500 0.2500 0.5000
Pt: 0.0001 0.0001 0.0000
Pt: 0.2500 0.7501 0.5000
Rh: 0.5000 0.5000 0.0000

Calculated values
- formation energy from the elements (eV per atom) = -0.02
- VASP energy (eV per cell) = -28.78
- M_tot (Bohr magnetons per cell) = 0.000
- polymorph energy (0 for the lowest one) (meV/atom) = 20
- ρ (g cm⁻³) = 16.668